No. 1
VASP calculation (PBE) on crystalline Ac4La4Nd at its relaxed geometry.

Cell lengths 8.5898, 8.5898, 8.5898 Å; angles 95.80, 95.80, 142.92 degrees
Last column: nearest neighbours and their distance in Å.
Positions (direct):
Ac1 0.0000 0.3267 0.3267  1 Nd 3.76, 6 La 3.81-3.87, 5 Ac 3.93-3.99
Ac2 0.0000 0.6733 0.6733  1 Nd 3.76, 6 La 3.81-3.87, 5 Ac 3.93-3.99
Ac3 0.3267 0.0000 0.3267  1 Nd 3.76, 6 La 3.81-3.87, 5 Ac 3.93-3.99
Ac4 0.6733 0.0000 0.6733  1 Nd 3.76, 6 La 3.81-3.87, 5 Ac 3.93-3.99
La1 0.3355 0.3355 0.6710  4 La 3.79-3.90, 6 Ac 3.81-3.87, 2 Nd 3.83
La2 0.3355 0.6645 0.0000  4 La 3.79-3.90, 6 Ac 3.81-3.87, 2 Nd 3.83
La3 0.6645 0.3355 0.0000  4 La 3.79-3.90, 6 Ac 3.81-3.87, 2 Nd 3.83
La4 0.6645 0.6645 0.3290  4 La 3.79-3.90, 6 Ac 3.81-3.87, 2 Nd 3.83
Nd1 0.0000 0.0000 0.0000  4 Ac 3.76, 8 La 3.83

Summary:
As for the energy of formation from the pure elements: 0.19 eV per formula unit. For the energy relative to the lowest polymorph listed for this composition, the calculation gives 0.0 meV per atom. As for the volume: 362 Å³/f.u.

No. 2
VASP calculation (PBE) on crystalline Cu2TePt at its relaxed geometry.

Cell lengths 5.6043, 5.6778, 8.0938 Å; angles 90.00, 90.00, 90.00 degrees
Last column: nearest neighbours and their distance in Å.
Positions (direct):
Cu1 0.2500 0.2500 0.2500  4 Cu 2.80-2.84, 4 Te 2.84, 4 Pt 2.84
Cu2 0.2500 0.2500 0.7500  4 Cu 2.80-2.84, 4 Te 2.84, 4 Pt 2.84
Cu3 0.2500 0.7500 0.2500  4 Cu 2.80-2.84, 4 Te 2.84, 4 Pt 2.84
Cu4 0.2500 0.7500 0.7500  4 Cu 2.80-2.84, 4 Te 2.84, 4 Pt 2.84
Cu5 0.7500 0.2500 0.2500  4 Cu 2.80-2.84, 4 Te 2.84, 4 Pt 2.84
Cu6 0.7500 0.2500 0.7500  4 Cu 2.80-2.84, 4 Te 2.84, 4 Pt 2.84
Cu7 0.7500 0.7500 0.2500  4 Cu 2.80-2.84, 4 Te 2.84, 4 Pt 2.84
Cu8 0.7500 0.7500 0.7500  4 Cu 2.80-2.84, 4 Te 2.84, 4 Pt 2.84
Te1 0.0000 0.0000 0.0000  4 Pt 2.80-2.84, 8 Cu 2.84
Te2 0.0000 0.5000 0.5000  4 Pt 2.80-2.84, 8 Cu 2.84
Te3 0.5000 0.0000 0.5000  4 Pt 2.80-2.84, 8 Cu 2.84
Te4 0.5000 0.5000 0.0000  4 Pt 2.80-2.84, 8 Cu 2.84
Pt1 0.0000 0.0000 0.5000  4 Te 2.80-2.84, 8 Cu 2.84
Pt2 0.0000 0.5000 0.0000  4 Te 2.80-2.84, 8 Cu 2.84
Pt3 0.5000 0.0000 0.0000  4 Te 2.80-2.84, 8 Cu 2.84
Pt4 0.5000 0.5000 0.5000  4 Te 2.80-2.84, 8 Cu 2.84

Summary:
As for the formation energy without anion corrections: 0.053 eV per atom. As for the volume: 64 Å³/f.u.

No. 3
VASP calculation (PBE) on crystalline ZrTaZn2P at its relaxed geometry.

Cell lengths 4.9070, 4.9070, 4.7613 Å; angles 90.00, 90.00, 90.00 degrees
Last column: nearest neighbours and their distance in Å.
Positions (direct):
Zr1 0.0000 0.0000 0.0000  2 P 2.38, 4 Zn 2.45
Ta1 0.5000 0.5000 0.5000  8 Zn 3.42, 4 P 3.47
Zn1 0.0000 0.5000 0.0000  2 Zr 2.45
Zn2 0.5000 0.0000 0.0000  2 Zr 2.45
P1 0.0000 0.0000 0.5000  2 Zr 2.38

Summary:
As for the energy of formation from the pure elements: 6.59 eV per formula unit. As for the volume: 115 Å³/f.u.

No. 4
VASP calculation (PBE) on crystalline Li3Ag2Pd2 at its relaxed geometry.

Cell lengths 4.3712, 2.7891, 9.3212 Å; angles 90.00, 103.42, 90.00 degrees
Last column: nearest neighbours and their distance in Å.
Positions (direct):
Li1 0.0000 0.0000 0.0000  4 Pd 2.58, 2 Li 2.79
Li2 0.2888 0.0000 0.5775  1 Pd 2.46, 2 Li 2.60
Li3 0.7112 0.0000 0.4225  1 Pd 2.46, 2 Li 2.60
Ag1 0.1459 0.5000 0.2922  2 Ag 2.79, 8 Li 2.85-2.99, 4 Pd 2.89
Ag2 0.8541 0.5000 0.7078  2 Ag 2.79, 8 Li 2.85-2.99, 4 Pd 2.89
Pd1 0.4242 0.0000 0.8489  3 Li 2.46-2.58, 1 Pd 2.74
Pd2 0.5758 0.0000 0.1511  3 Li 2.46-2.58, 1 Pd 2.74

Summary:
As for the energy of formation from the pure elements: -1.43 eV per formula unit. For the energy relative to the lowest polymorph listed for this composition, the calculation gives 47.7 meV per atom. As for the volume: 111 Å³/f.u.

No. 5
VASP calculation (PBE) on crystalline Er8Tm6Th at its relaxed geometry.

Cell lengths 9.2836, 9.2836, 6.4029 Å; angles 90.00, 90.00, 120.00 degrees
Last column: nearest neighbours and their distance in Å.
Positions (direct):
Er1 0.0236 0.6887 0.4027  3 Tm 3.17-3.39, 5 Er 3.25-3.53
Er2 0.3113 0.3349 0.4027  3 Tm 3.17-3.39, 5 Er 3.25-3.53
Er3 0.3333 0.6667 0.6723  6 Er 3.34-3.45, 3 Tm 3.54
Er4 0.3349 0.0236 0.5973  3 Tm 3.17-3.39, 5 Er 3.25-3.53
Er5 0.6651 0.9764 0.4027  3 Tm 3.17-3.39, 5 Er 3.25-3.53
Er6 0.6667 0.3333 0.3277  6 Er 3.34-3.45, 3 Tm 3.54
Er7 0.6887 0.6651 0.5973  3 Tm 3.17-3.39, 5 Er 3.25-3.53
Er8 0.9764 0.3113 0.5973  3 Tm 3.17-3.39, 5 Er 3.25-3.53
Tm1 0.0926 0.4111 0.0918  1 Tm 3.15, 3 Er 3.17-3.39, 1 Th 3.52
Tm2 0.3186 0.9074 0.0918  1 Tm 3.15, 3 Er 3.17-3.39, 1 Th 3.52
Tm3 0.4111 0.3186 0.9082  1 Tm 3.15, 3 Er 3.17-3.39, 1 Th 3.52
Tm4 0.5889 0.6814 0.0918  1 Tm 3.15, 3 Er 3.17-3.39, 1 Th 3.52
Tm5 0.6814 0.0926 0.9082  1 Tm 3.15, 3 Er 3.17-3.39, 1 Th 3.52
Tm6 0.9074 0.5889 0.9082  1 Tm 3.15, 3 Er 3.17-3.39, 1 Th 3.52
Th1 0.0000 0.0000 0.0000  6 Tm 3.52

Summary:
As for the energy of formation from the pure elements: 3.77 eV per formula unit. As for the volume: 478 Å³/f.u.

No. 6
VASP calculation (PBE) on crystalline K2CuSnI5 at its relaxed geometry.

Cell lengths 10.6519, 10.6519, 15.0606 Å; angles 90.00, 90.00, 155.10 degrees
Last column: nearest neighbours and their distance in Å.
Positions (direct):
K1 0.1148 0.8852 0.5000  5 I 3.51-3.78
K2 0.1160 0.8840 0.1482  6 I 3.51-3.83
K3 0.8840 0.1160 0.6482  6 I 3.51-3.83
K4 0.8852 0.1148 0.0000  5 I 3.51-3.78
Cu1 0.4391 0.5609 0.2317  4 I 2.61-2.79
Cu2 0.5609 0.4391 0.7317  4 I 2.61-2.79
Sn1 0.1972 0.8028 0.8365  6 I 3.14-3.24
Sn2 0.8028 0.1972 0.3365  6 I 3.14-3.24
I1 0.0418 0.9582 0.8191  2 Cu 2.68
I2 0.2960 0.7040 0.4849  2 Sn 3.21
I3 0.3091 0.6909 0.1850  1 Cu 2.79
I4 0.3479 0.6521 0.8240  1 Sn 3.14
I5 0.4989 0.5011 0.0792  1 Cu 2.61
I6 0.5011 0.4989 0.5792  1 Cu 2.61
I7 0.6521 0.3479 0.3240  1 Sn 3.14
I8 0.6909 0.3091 0.6850  1 Cu 2.79
I9 0.7040 0.2960 0.9849  2 Sn 3.21
I10 0.9582 0.0418 0.3191  2 Cu 2.68

Summary:
As for the formation energy without anion corrections: -0.851 eV per atom. As for the volume: 360 Å³/f.u.

No. 7
VASP calculation (PBE) on crystalline TcBi3O at its relaxed geometry.

Cell lengths 5.2410, 5.2410, 5.2410 Å; angles 90.00, 90.00, 90.00 degrees
Last column: nearest neighbours and their distance in Å.
Positions (direct):
Tc1 0.0000 0.0000 0.0000  6 Bi 2.62
Bi1 0.0000 0.0000 0.5000  2 Tc 2.62
Bi2 0.0000 0.5000 0.0000  2 Tc 2.62
Bi3 0.5000 0.0000 0.0000  2 Tc 2.62
O1 0.5000 0.5000 0.5000  12 Bi 3.71

Summary:
For the energy relative to the lowest polymorph listed for this composition, the calculation gives 441.0 meV per atom. As for the formation energy without anion corrections: 0.779 eV per atom. As for the volume: 144 Å³/f.u.

No. 8
VASP calculation (PBE) on crystalline CrCo2H at its relaxed geometry.

Cell lengths 5.7476, 5.7476, 4.3094 Å; angles 90.00, 90.00, 90.00 degrees
Last column: nearest neighbours and their distance in Å.
Positions (direct):
Cr1 0.0000 0.0000 0.0000  2 H 2.15, 4 Co 2.32
Cr2 0.0000 0.5000 0.2500  2 H 2.15, 4 Co 2.32
Cr3 0.5000 0.0000 0.7500  2 H 2.15, 4 Co 2.32
Cr4 0.5000 0.5000 0.5000  2 H 2.15, 4 Co 2.32
Co1 0.1458 0.2500 0.6250  2 H 1.75
Co2 0.2500 0.6458 0.8750  2 H 1.75
Co3 0.2500 0.8542 0.3750  2 H 1.75
Co4 0.3542 0.2500 0.1250  2 H 1.75
Co5 0.6458 0.7500 0.1250  2 H 1.75
Co6 0.7500 0.1458 0.3750  2 H 1.75
Co7 0.7500 0.3542 0.8750  2 H 1.75
Co8 0.8542 0.7500 0.6250  2 H 1.75
H1 0.0000 0.0000 0.5000  4 Co 1.75
H2 0.0000 0.5000 0.7500  4 Co 1.75
H3 0.5000 0.0000 0.2500  4 Co 1.75
H4 0.5000 0.5000 0.0000  4 Co 1.75

Summary:
For the energy relative to the lowest polymorph listed for this composition, the calculation gives 203.9 meV per atom. As for the volume: 36 Å³/f.u.

Question: Which of these has the lowest volume?
Answer: CrCo2H